Entry 1:
YTa2Re: optimized geometry, PBE-GGA.

The structure in POSCAR format:
```
YTa2Re
1.0
2.8805 -4.8080 0.0000
2.8805 4.8080 0.0000
-0.9196 0.0000 2.7295
Y Ta Re
1 2 1
Direct
0.0000 0.0000 0.0000
0.0000 0.5000 0.5000
0.5000 0.0000 0.5000
0.5000 0.5000 0.0000
```

Properties
SG = C2/m
Total magnetic moment = 0.0000 μB/atom

***

Entry 2:
YTa2Re: optimized geometry, PBE-GGA.

The structure in POSCAR format:
```
YTa2Re
1.0
2.7928 -4.9050 0.0000
2.7928 4.9050 0.0000
0.0000 0.0000 2.8059
Y Ta Re
1 2 1
Direct
0.0000 0.0000 0.0000
0.0000 0.5000 0.5000
0.5000 0.0000 0.5000
0.5000 0.5000 0.0000
```

Properties
SG = Cmmm
Total magnetic moment = 0.0000 μB/atom

***

Entry 3:
YTa2Re: optimized geometry, PBE-GGA.

The structure in POSCAR format:
```
YTa2Re
1.0
0.0000 3.3444 3.3444
3.3444 0.0000 3.3444
3.3444 3.3444 0.0000
Y Ta Re
1 2 1
Direct
0.0000 0.0000 0.0000
0.2500 0.2500 0.2500
0.7500 0.7500 0.7500
0.5000 0.5000 0.5000
```

Properties
SG = Fm-3m
Total magnetic moment = 0.0000 μB/atom

***

Number 1: V 18.90 Å³/atom, E_tot -41.30 eV per cell, polymorph energy (0 for the lowest one) 237 meV per atom. Number 2: V 19.22 Å³/atom, E_tot -40.74 eV per cell, polymorph energy (0 for the lowest one) 378 meV per atom. Number 3: V 18.70 Å³/atom, E_tot -41.63 eV per cell, polymorph energy (0 for the lowest one) 155 meV per atom.